DFT (PBE) results for a relaxed structure of KNb4Br7.

The structure belongs to space group P-1 (No. 2); the cell edges are 4.732, 8.713 and 18.683 Å and the angles 87.29°, 86.46° and 89.41°. The inequivalent atoms are K at (0.164, 0.472, 0.287), Nb at (0.266, 0.065, 0.462), Nb at (0.272, 0.625, 0.982), Nb at (0.280, 0.026, 0.615), Nb at (0.287, 0.371, 0.927), Br at (0.077, 0.785, 0.444), Br at (0.204, 0.726, 0.122), Br at (0.211, 0.070, 0.310), Br at (0.241, 0.165, 0.035), Br at (0.303, 0.619, 0.836), Br at (0.345, 0.267, 0.695) and Br at (0.381, 0.712, 0.598).

For the total energy, the calculation gives -5.07 eV per atom. The calculation puts the total moment at 0.0 μB per cell.


DFT (PBE) results for a relaxed structure of K3NbBr8.

The structure belongs to space group P6_3mc (No. 186); the cell edges are 10.0264, 10.0264 and 9.9299 Å and the angles 90.00°, 90.00° and 120.00°. The inequivalent atoms are K at (0.1521, 0.3041, 0.0000), Nb at (0.3333, 0.6667, 0.4555), Br at (0.0000, 0.0000, 0.2869), Br at (0.0939, 0.5470, 0.3134), Br at (0.2131, 0.4261, 0.6104) and Br at (0.3333, 0.6667, 0.9749).

For the total energy, the calculation gives -3.49 eV per atom. The calculation puts the total moment at 0.0 μB per cell.


DFT (PBE) results for a relaxed structure of K2NbBr.

The structure belongs to space group Fm-3m (No. 225); the cell edges are 8.473, 8.473 and 8.473 Å and the angles 90.00°, 90.00° and 90.00°. The inequivalent atoms are K at (0.250, 0.250, 0.250), Nb at (0.000, 0.000, 0.000) and Br at (0.000, 0.000, 0.500).

The distance to the lowest polymorph of the same formula comes out at 139.9 meV/atom. For the total energy, the calculation gives -2.89 eV per atom. The calculation puts the total moment at 22.0 μB per cell.


DFT (PBE) results for a relaxed structure of K2NbBr.

The structure belongs to space group I-42d (No. 122); the cell edges are 12.114, 12.114 and 5.275 Å and the angles 90.00°, 90.00° and 90.00°. The inequivalent atoms are K at (0.101, 0.750, 0.125), Nb at (0.000, 0.000, 0.500) and Br at (0.000, 0.000, 0.000).

The distance to the lowest polymorph of the same formula comes out at 0.0 meV/atom. For the total energy, the calculation gives -3.03 eV per atom. The calculation puts the total moment at 16.0 μB per cell.


DFT (PBE) results for a relaxed structure of KNbBr4.

The structure belongs to space group C2/c (No. 15); the cell edges are 9.922, 13.493 and 7.259 Å and the angles 90.00°, 111.09° and 90.00°. The inequivalent atoms are K at (0.000, 0.136, 0.250), Nb at (0.000, 0.500, 0.250), Br at (0.002, 0.354, 0.501) and Br at (0.219, 0.001, 0.611).

For the total energy, the calculation gives -4.03 eV per atom. The calculation puts the total moment at 5.6 μB per cell.


DFT (PBE) results for a relaxed structure of K3NbBr7.

The structure belongs to space group Cm (No. 8); the cell edges are 11.145, 10.495 and 8.333 Å and the angles 90.00°, 126.10° and 90.00°. The inequivalent atoms are K at (0.000, 0.000, 0.000), K at (0.008, 0.273, 0.585), Nb at (0.053, 0.500, 0.137), Br at (0.121, 0.260, 0.283), Br at (0.205, 0.500, 0.991), Br at (0.343, 0.500, 0.516), Br at (0.357, 0.156, 0.828) and Br at (0.375, 0.000, 0.250).

For the total energy, the calculation gives -3.53 eV per atom. The calculation puts the total moment at 2.0 μB per cell.